! PBE AsPOsBr2, optimized geometry; values from VASP
&SYSTEM
  ibrav = 0, nat = 5, ntyp = 4
/
ATOMIC_SPECIES
Br 79.90 Br.upf
Os 190.23 Os.upf
As 74.92 As.upf
P 30.97 P.upf
ATOMIC_POSITIONS crystal
Br 0.5000 0.0000 0.0000
Os 0.5000 0.5000 0.5000
Br 0.0000 0.5000 0.0000
As 0.0000 0.0000 0.5000
P 0.0000 0.0000 0.0000
CELL_PARAMETERS angstrom
-3.9703 -0.3112 -2.8196
2.1520 -3.4904 -2.6450
-1.9271 -3.5407 3.1045
! Total magnetization = 0.74 μB per atom
! Formation energy (no corrections) = 1524 meV/atom
! Uncorrected energy = -17.0 eV per cell
! N(E_F) = 5.84 states/eV/cell
! Theoretical density = 6.25 g/cm³